Record 1
Entry from Alexandria: a relaxed Pm3Y3Tm5 crystal (PBE).

a = 5.6246 Å, b = 9.6053 Å, c = 9.6053 Å
α = 120.00°, β = 90.00°, γ = 90.00°
Closest atoms and distances in Å follow each position.
Element x y z (fractional)
Pm1 0.0000 0.5296 0.5296  2 Tm 3.18, 2 Y 3.43
Pm2 0.0000 0.4704 0.0000  2 Tm 3.18, 2 Y 3.43
Pm3 0.0000 0.0000 0.4704  2 Tm 3.18, 2 Y 3.43
Y1 0.5000 0.7341 0.7341  5 Tm 3.22-3.57, 2 Pm 3.43
Y2 0.5000 0.0000 0.2659  5 Tm 3.22-3.57, 2 Pm 3.43
Y3 0.5000 0.2659 0.0000  5 Tm 3.22-3.57, 2 Pm 3.43
Tm1 0.5000 0.3333 0.6667  3 Tm 3.02
Tm2 0.5000 0.6667 0.3333  3 Tm 3.02
Tm3 0.5000 0.3761 0.3761  2 Tm 3.02, 2 Pm 3.18, 2 Y 3.22
Tm4 0.5000 0.0000 0.6239  2 Tm 3.02, 2 Pm 3.18, 2 Y 3.22
Tm5 0.5000 0.6239 0.0000  2 Tm 3.02, 2 Pm 3.18, 2 Y 3.22

Results
Total magnetization   0.0 μB per formula unit
Space-group type   P-62m
V   449.4 Å³/f.u.
Energy relative to the elements   0.7834 eV per atom


Record 2
Entry from Alexandria: a relaxed Pm8YTm6 crystal (PBE).

a = 9.0509 Å, b = 9.0509 Å, c = 8.7012 Å
α = 58.66°, β = 58.66°, γ = 60.00°
Closest atoms and distances in Å follow each position.
Element x y z (fractional)
Pm1 0.2484 0.2843 0.5796  5 Pm 3.42-3.44, 3 Tm 3.43-3.83, 1 Y 3.53
Pm2 0.7157 0.1123 0.4204  5 Pm 3.42-3.44, 3 Tm 3.43-3.83, 1 Y 3.53
Pm3 0.1123 0.7516 0.4204  5 Pm 3.42-3.44, 3 Tm 3.43-3.83, 1 Y 3.53
Pm4 0.5777 0.5777 0.2669  4 Pm 3.24-3.42, 3 Tm 3.35
Pm5 0.4223 0.4223 0.7331  4 Pm 3.24-3.42, 3 Tm 3.35
Pm6 0.8877 0.2484 0.5796  5 Pm 3.42-3.44, 3 Tm 3.43-3.83, 1 Y 3.53
Pm7 0.2843 0.8877 0.5796  5 Pm 3.42-3.44, 3 Tm 3.43-3.83, 1 Y 3.53
Pm8 0.7516 0.7157 0.4204  5 Pm 3.42-3.44, 3 Tm 3.43-3.83, 1 Y 3.53
Y1 0.0000 0.0000 0.0000  6 Tm 3.48, 6 Pm 3.53
Tm1 0.4617 0.9035 0.8837  3 Pm 3.35-3.45, 1 Y 3.48, 5 Tm 3.52-3.75
Tm2 0.0965 0.2489 0.1163  3 Pm 3.35-3.45, 1 Y 3.48, 5 Tm 3.52-3.75
Tm3 0.2489 0.5383 0.1163  3 Pm 3.35-3.45, 1 Y 3.48, 5 Tm 3.52-3.75
Tm4 0.7511 0.4617 0.8837  3 Pm 3.35-3.45, 1 Y 3.48, 5 Tm 3.52-3.75
Tm5 0.9035 0.7511 0.8837  3 Pm 3.35-3.45, 1 Y 3.48, 5 Tm 3.52-3.75
Tm6 0.5383 0.0965 0.1163  3 Pm 3.35-3.45, 1 Y 3.48, 5 Tm 3.52-3.75

Results
Total magnetization   0.0 μB per formula unit
Space-group type   R-3
V   493.6 Å³/f.u.
Energy relative to the elements   0.1322 eV per atom


Record 3
Entry from Alexandria: a relaxed Pm3YTm crystal (PBE).

a = 3.6587 Å, b = 10.4632 Å, c = 17.9177 Å
α = 83.78°, β = 95.86°, γ = 79.92°
Closest atoms and distances in Å follow each position.
Element x y z (fractional)
Pm1 0.4311 0.9946 0.8556  2 Tm 3.50, 7 Pm 3.51-3.66, 3 Y 3.54-3.89
Pm2 0.0846 0.8409 0.0102  7 Pm 3.25-3.60, 2 Y 3.52
Pm3 0.5917 0.5456 0.7286  5 Pm 3.34-3.66, 3 Y 3.49-3.52, 3 Tm 3.50-3.64
Pm4 0.7391 0.9425 0.4202  3 Tm 3.52-3.67, 7 Pm 3.56-3.70, 2 Y 3.70
Pm5 0.4193 0.7193 0.5571  6 Pm 3.34-3.66, 4 Tm 3.60-3.64
Pm6 0.2548 0.3480 0.8580  7 Pm 3.39-3.66, 2 Y 3.60, 2 Tm 3.60
Pm7 0.7452 0.6520 0.1420  7 Pm 3.39-3.66, 2 Y 3.60, 2 Tm 3.60
Pm8 0.5807 0.2807 0.4429  6 Pm 3.34-3.66, 4 Tm 3.60-3.64
Pm9 0.2609 0.0575 0.5798  3 Tm 3.52-3.67, 7 Pm 3.56-3.70, 2 Y 3.70
Pm10 0.4083 0.4544 0.2714  5 Pm 3.34-3.66, 3 Y 3.49-3.52, 3 Tm 3.50-3.64
Pm11 0.9154 0.1591 0.9898  7 Pm 3.25-3.60, 2 Y 3.52
Pm12 0.5689 0.0054 0.1444  2 Tm 3.50, 7 Pm 3.51-3.66, 3 Y 3.54-3.89
Y1 0.6484 0.6185 0.9163  6 Pm 3.52-3.89, 2 Y 3.66
Y2 0.9453 0.8346 0.7240  8 Pm 3.49-3.81, 2 Y 3.66, 1 Tm 3.70
Y3 0.0547 0.1654 0.2760  8 Pm 3.49-3.81, 2 Y 3.66, 1 Tm 3.70
Y4 0.3516 0.3815 0.0837  6 Pm 3.52-3.89, 2 Y 3.66
Tm1 0.7619 0.1947 0.7191  7 Pm 3.50-3.64, 4 Tm 3.51-3.66, 1 Y 3.70
Tm2 0.9109 0.5887 0.4100  5 Tm 3.48-3.66, 7 Pm 3.50-3.67
Tm3 0.0891 0.4113 0.5900  5 Tm 3.48-3.66, 7 Pm 3.50-3.67
Tm4 0.2381 0.8053 0.2809  7 Pm 3.50-3.64, 4 Tm 3.51-3.66, 1 Y 3.70

Results
Total magnetization   0.0 μB per formula unit
Space-group type   P-1
V   166.5 Å³/f.u.
Energy relative to the elements   0.0635 eV per atom


Record 4
Entry from Alexandria: a relaxed Pm15Y4Tm crystal (PBE).

a = 5.1342 Å, b = 5.1342 Å, c = 25.5749 Å
α = 90.00°, β = 90.00°, γ = 90.00°
Closest atoms and distances in Å follow each position.
Element x y z (fractional)
Pm1 0.5000 0.5000 0.0000  8 Pm 3.61, 4 Tm 3.63
Pm2 0.5000 0.5000 0.1993  8 Pm 3.63, 4 Y 3.63
Pm3 0.5000 0.5000 0.3998  8 Pm 3.63, 4 Y 3.63
Pm4 0.5000 0.5000 0.6002  8 Pm 3.63, 4 Y 3.63
Pm5 0.5000 0.5000 0.8007  8 Pm 3.63, 4 Y 3.63
Pm6 0.5000 0.0000 0.0991  8 Pm 3.61-3.63, 2 Tm 3.61, 2 Y 3.63
Pm7 0.5000 0.0000 0.2996  4 Y 3.63, 8 Pm 3.63
Pm8 0.5000 0.0000 0.5000  8 Pm 3.63, 4 Y 3.63
Pm9 0.5000 0.0000 0.7004  4 Y 3.63, 8 Pm 3.63
Pm10 0.5000 0.0000 0.9009  2 Tm 3.61, 8 Pm 3.61-3.63, 2 Y 3.63
Pm11 0.0000 0.5000 0.0991  2 Tm 3.61, 8 Pm 3.61-3.63, 2 Y 3.63
Pm12 0.0000 0.5000 0.2996  4 Y 3.63, 8 Pm 3.63
Pm13 0.0000 0.5000 0.5000  8 Pm 3.63, 4 Y 3.63
Pm14 0.0000 0.5000 0.7004  4 Y 3.63, 8 Pm 3.63
Pm15 0.0000 0.5000 0.9009  2 Tm 3.61, 8 Pm 3.61-3.63, 2 Y 3.63
Y1 0.0000 0.0000 0.1994  12 Pm 3.63
Y2 0.0000 0.0000 0.3998  12 Pm 3.63
Y3 0.0000 0.0000 0.6002  12 Pm 3.63
Y4 0.0000 0.0000 0.8006  12 Pm 3.63
Tm1 0.0000 0.0000 0.0000  12 Pm 3.61-3.63

Results
Total magnetization   0.0 μB per formula unit
Space-group type   P4/mmm
V   674.2 Å³/f.u.
Energy relative to the elements   0.0120 eV per atom


Record 5
Entry from Alexandria: a relaxed PmY5Tm6 crystal (PBE).

a = 11.7213 Å, b = 6.1281 Å, c = 6.1227 Å
α = 59.97°, β = 85.01°, γ = 79.99°
Closest atoms and distances in Å follow each position.
Element x y z (fractional)
Pm1 0.0000 0.0000 0.0000  6 Y 3.53-3.54, 6 Tm 3.54
Y1 0.5000 0.1669 0.6662  6 Tm 3.53, 6 Y 3.53-3.54
Y2 0.0000 0.3334 0.3332  3 Y 3.53-3.54, 3 Pm 3.53-3.54, 6 Tm 3.54
Y3 0.5000 0.5000 0.0000  6 Tm 3.53, 6 Y 3.53-3.54
Y4 0.0000 0.6666 0.6668  3 Y 3.53-3.54, 3 Pm 3.53-3.54, 6 Tm 3.54
Y5 0.5000 0.8331 0.3338  6 Tm 3.53, 6 Y 3.53-3.54
Tm1 0.7494 0.0841 0.3330  5 Y 3.53-3.54, 6 Tm 3.53-3.54, 1 Pm 3.54
Tm2 0.2506 0.5828 0.3330  5 Y 3.53-3.54, 6 Tm 3.53-3.54, 1 Pm 3.54
Tm3 0.2506 0.2490 0.0000  5 Y 3.53-3.54, 6 Tm 3.53-3.54, 1 Pm 3.54
Tm4 0.7494 0.7510 0.0000  5 Y 3.53-3.54, 6 Tm 3.53-3.54, 1 Pm 3.54
Tm5 0.7494 0.4172 0.6670  5 Y 3.53-3.54, 6 Tm 3.53-3.54, 1 Pm 3.54
Tm6 0.2506 0.9159 0.6670  5 Y 3.53-3.54, 6 Tm 3.53-3.54, 1 Pm 3.54

Results
Total magnetization   0.0 μB per formula unit
Space-group type   C2/m
V   375.0 Å³/f.u.
Energy relative to the elements   0.0277 eV per atom


Record 6
Entry from Alexandria: a relaxed PmY4Tm6 crystal (PBE).

a = 8.3368 Å, b = 8.3368 Å, c = 8.3368 Å
α = 80.25°, β = 125.78°, γ = 125.78°
Closest atoms and distances in Å follow each position.
Element x y z (fractional)
Pm1 0.0000 0.0000 0.0000  4 Y 3.57, 8 Tm 3.77-3.80
Y1 0.0000 0.5654 0.0566  1 Tm 3.12
Y2 0.4912 0.4346 0.4346  1 Tm 3.12
Y3 0.0000 0.0566 0.5654  1 Tm 3.12
Y4 0.5088 0.9434 0.9434  1 Tm 3.12
Tm1 0.0000 0.7379 0.4161  4 Tm 3.02-3.14, 1 Y 3.12
Tm2 0.0000 0.4161 0.7379  4 Tm 3.02-3.14, 1 Y 3.12
Tm3 0.3218 0.5839 0.5839  4 Tm 3.02-3.14, 1 Y 3.12
Tm4 0.5000 0.5000 0.0000  4 Tm 3.02
Tm5 0.6782 0.2621 0.2621  4 Tm 3.02-3.14, 1 Y 3.12
Tm6 0.5000 0.0000 0.5000  4 Tm 3.02

Results
Total magnetization   0.0 μB per formula unit
Space-group type   I-42m
V   368.0 Å³/f.u.
Energy relative to the elements   0.4237 eV per atom


Record 7
Entry from Alexandria: a relaxed PmY2Tm crystal (PBE).

a = 5.6955 Å, b = 5.6955 Å, c = 5.6955 Å
α = 60.00°, β = 60.00°, γ = 60.00°
Closest atoms and distances in Å follow each position.
Element x y z (fractional)
Y1 0.2500 0.2500 0.2500  4 Pm 3.49, 4 Tm 3.49
Y2 0.7500 0.7500 0.7500  4 Pm 3.49, 4 Tm 3.49
Tm1 0.5000 0.5000 0.5000  8 Y 3.49
Pm1 0.0000 0.0000 0.0000  8 Y 3.49

Results
Total magnetization   0.0 μB per formula unit
Space-group type   Fm-3m
V   130.6 Å³/f.u.
Energy relative to the elements   0.1320 eV per atom


Record 8
Entry from Alexandria: a relaxed Pm8YTm6 crystal (PBE).

a = 6.5052 Å, b = 9.3790 Å, c = 9.3790 Å
α = 120.00°, β = 90.00°, γ = 90.00°
Closest atoms and distances in Å follow each position.
Element x y z (fractional)
Pm1 0.8341 0.0374 0.2884  3 Pm 3.24-3.34, 4 Tm 3.30-3.55, 1 Y 3.35
Pm2 0.8341 0.7116 0.7490  3 Pm 3.24-3.34, 4 Tm 3.30-3.55, 1 Y 3.35
Pm3 0.8341 0.2510 0.9626  3 Pm 3.24-3.34, 4 Tm 3.30-3.55, 1 Y 3.35
Pm4 0.1659 0.9626 0.7116  3 Pm 3.24-3.34, 4 Tm 3.30-3.55, 1 Y 3.35
Pm5 0.1659 0.2884 0.2510  3 Pm 3.24-3.34, 4 Tm 3.30-3.55, 1 Y 3.35
Pm6 0.1659 0.7490 0.0374  3 Pm 3.24-3.34, 4 Tm 3.30-3.55, 1 Y 3.35
Pm7 0.8783 0.3333 0.6667  3 Pm 3.24
Pm8 0.1217 0.6667 0.3333  3 Pm 3.24
Y1 0.5000 0.0000 0.0000  6 Pm 3.35
Tm1 0.6578 0.6567 0.0953  1 Tm 3.29, 4 Pm 3.30-3.55
Tm2 0.6578 0.9047 0.5614  1 Tm 3.29, 4 Pm 3.30-3.55
Tm3 0.6578 0.4386 0.3433  1 Tm 3.29, 4 Pm 3.30-3.55
Tm4 0.3422 0.3433 0.9047  1 Tm 3.29, 4 Pm 3.30-3.55
Tm5 0.3422 0.0953 0.4386  1 Tm 3.29, 4 Pm 3.30-3.55
Tm6 0.3422 0.5614 0.6567  1 Tm 3.29, 4 Pm 3.30-3.55

Results
Total magnetization   0.0 μB per formula unit
Space-group type   P-3
V   495.6 Å³/f.u.
Energy relative to the elements   0.1790 eV per atom


Record 9
Entry from Alexandria: a relaxed Pm4Y2Tm3 crystal (PBE).

a = 3.5432 Å, b = 8.6000 Å, c = 10.0118 Å
α = 98.60°, β = 100.19°, γ = 90.00°
Closest atoms and distances in Å follow each position.
Element x y z (fractional)
Pm1 0.5474 0.6869 0.0948  4 Pm 3.45-3.54, 6 Tm 3.47-3.68, 1 Y 3.59
Pm2 0.2805 0.3496 0.5610  3 Tm 3.44-3.57, 5 Pm 3.45-3.54, 3 Y 3.63-3.70
Pm3 0.4526 0.3131 0.9052  4 Pm 3.45-3.54, 6 Tm 3.47-3.68, 1 Y 3.59
Pm4 0.7195 0.6504 0.4390  3 Tm 3.44-3.57, 5 Pm 3.45-3.54, 3 Y 3.63-3.70
Y1 0.6672 0.0453 0.3344  4 Y 3.54-3.89, 4 Tm 3.57-3.71, 4 Pm 3.59-3.70
Y2 0.3328 0.9547 0.6656  4 Y 3.54-3.89, 4 Tm 3.57-3.71, 4 Pm 3.59-3.70
Tm1 0.1065 0.3576 0.2130  7 Pm 3.44-3.68, 3 Tm 3.45-3.54, 2 Y 3.57
Tm2 0.8935 0.6424 0.7870  7 Pm 3.44-3.68, 3 Tm 3.45-3.54, 2 Y 3.57
Tm3 0.0000 0.0000 0.0000  4 Tm 3.45-3.54, 4 Pm 3.47, 4 Y 3.71

Results
Total magnetization   0.0 μB per formula unit
Space-group type   C2/m
V   296.8 Å³/f.u.
Energy relative to the elements   0.0816 eV per atom


Record 10
Entry from Alexandria: a relaxed Pm3Y5Tm crystal (PBE).

a = 7.0824 Å, b = 9.8057 Å, c = 9.8057 Å
α = 120.00°, β = 90.00°, γ = 90.00°
Closest atoms and distances in Å follow each position.
Element x y z (fractional)
Pm1 0.7500 0.3614 0.0000  9 Y 3.29-3.60
Pm2 0.7500 0.6386 0.6386  9 Y 3.29-3.60
Pm3 0.7500 0.0000 0.3614  9 Y 3.29-3.60
Pm4 0.2500 0.6386 0.0000  9 Y 3.29-3.60
Pm5 0.2500 0.3614 0.3614  9 Y 3.29-3.60
Pm6 0.2500 0.0000 0.6386  9 Y 3.29-3.60
Y1 0.0000 0.3333 0.6667  8 Y 3.54-3.86, 6 Pm 3.60
Y2 0.5000 0.6667 0.3333  8 Y 3.54-3.86, 6 Pm 3.60
Y3 0.0000 0.6667 0.3333  8 Y 3.54-3.86, 6 Pm 3.60
Y4 0.5000 0.3333 0.6667  8 Y 3.54-3.86, 6 Pm 3.60
Y5 0.7500 0.6971 0.0000  5 Pm 3.29-3.59, 2 Tm 3.46
Y6 0.7500 0.3029 0.3029  5 Pm 3.29-3.59, 2 Tm 3.46
Y7 0.7500 0.0000 0.6971  5 Pm 3.29-3.59, 2 Tm 3.46
Y8 0.2500 0.3029 0.0000  5 Pm 3.29-3.59, 2 Tm 3.46
Y9 0.2500 0.6971 0.6971  5 Pm 3.29-3.59, 2 Tm 3.46
Y10 0.2500 0.0000 0.3029  5 Pm 3.29-3.59, 2 Tm 3.46
Tm1 0.0000 0.0000 0.0000  6 Y 3.46, 2 Tm 3.54
Tm2 0.5000 0.0000 0.0000  6 Y 3.46, 2 Tm 3.54

Results
Total magnetization   0.0 μB per formula unit
Space-group type   P6_3/mcm
V   294.9 Å³/f.u.
Energy relative to the elements   0.0435 eV per atom


Record 11
Entry from Alexandria: a relaxed Pm2Y3Tm8 crystal (PBE).

a = 5.5064 Å, b = 7.5386 Å, c = 10.9842 Å
α = 110.07°, β = 90.01°, γ = 90.00°
Closest atoms and distances in Å follow each position.
Element x y z (fractional)
Pm1 0.4995 0.2407 0.4814  8 Tm 3.40-3.58, 2 Pm 3.79
Pm2 0.5005 0.7593 0.5186  8 Tm 3.40-3.58, 2 Pm 3.79
Y1 0.5000 0.0000 0.0000  4 Tm 3.11
Y2 0.0000 0.2851 0.0000  3 Y 3.24-3.49, 6 Tm 3.44-3.55
Y3 0.0000 0.7149 0.0000  3 Y 3.24-3.49, 6 Tm 3.44-3.55
Tm1 0.0003 0.6625 0.3250  4 Tm 3.38, 2 Pm 3.40, 2 Y 3.72
Tm2 0.9997 0.3375 0.6750  4 Tm 3.38, 2 Pm 3.40, 2 Y 3.72
Tm3 0.9998 0.1302 0.2605  4 Y 3.44-3.85, 6 Tm 3.52-3.83, 2 Pm 3.57-3.58
Tm4 0.0002 0.8698 0.7395  4 Y 3.44-3.85, 6 Tm 3.52-3.83, 2 Pm 3.57-3.58
Tm5 0.4999 0.6052 0.7826  1 Y 3.11, 3 Tm 3.23-3.38, 1 Pm 3.47
Tm6 0.4999 0.1773 0.7826  1 Y 3.11, 3 Tm 3.23-3.38, 1 Pm 3.47
Tm7 0.5001 0.8227 0.2174  1 Y 3.11, 3 Tm 3.23-3.38, 1 Pm 3.47
Tm8 0.5001 0.3948 0.2174  1 Y 3.11, 3 Tm 3.23-3.38, 1 Pm 3.47

Results
Total magnetization   0.0 μB per formula unit
Space-group type   C2/m
V   428.3 Å³/f.u.
Energy relative to the elements   0.2537 eV per atom


Record 12
Entry from Alexandria: a relaxed PmYTm crystal (PBE).

a = 4.8583 Å, b = 4.8583 Å, c = 8.6254 Å
α = 90.00°, β = 90.00°, γ = 90.00°
Closest atoms and distances in Å follow each position.
Element x y z (fractional)
Tm1 0.0000 0.5000 0.7062  5 Y 3.43-3.44, 4 Pm 3.51
Tm2 0.5000 0.0000 0.2938  5 Y 3.43-3.44, 4 Pm 3.51
Pm1 0.5000 0.5000 0.0000  4 Pm 3.44, 4 Tm 3.51, 4 Y 3.61
Pm2 0.0000 0.0000 0.0000  4 Pm 3.44, 4 Tm 3.51, 4 Y 3.61
Y1 0.5000 0.0000 0.6911  5 Tm 3.43-3.44, 4 Pm 3.61
Y2 0.0000 0.5000 0.3089  5 Tm 3.43-3.44, 4 Pm 3.61

Results
Total magnetization   0.0 μB per formula unit
Space-group type   P4/nmm
V   101.8 Å³/f.u.
Energy relative to the elements   0.2372 eV per atom


> Among the records above, which one has the highest V?

Pm15Y4Tm


> Among the records above, which one has the lowest V?

PmYTm


> Among the records above, which one has the highest V?

Pm15Y4Tm